Here is a relaxed structure of Li9Al4 from Alexandria via LeMat-Bulk. Energies are from PBE-GGA.

Cell: 9.5962 9.5962 5.3069 Å, 105.03 105.03 27.12°
Sites, in units of the cell vectors:
Li: 0.0000 0.0000 0.0000
Li: 0.0854 0.0854 0.6414
Li: 0.2330 0.2330 0.8374
Li: 0.3086 0.3086 0.4733
Li: 0.4562 0.4562 0.6714
Li: 0.5438 0.5438 0.3286
Li: 0.6914 0.6914 0.5267
Li: 0.7670 0.7670 0.1626
Li: 0.9146 0.9146 0.3586
Al: 0.1516 0.1516 0.2202
Al: 0.3865 0.3865 0.0689
Al: 0.6135 0.6135 0.9311
Al: 0.8484 0.8484 0.7798

Computed properties:
ΔE_f ... -1.88 eV per formula unit



Here is a relaxed structure of Li4Al3 from Alexandria via LeMat-Bulk. Energies are from PBE-GGA.

Cell: 7.6564 7.6564 4.5369 Å, 90.00 90.00 120.00°
Sites, in units of the cell vectors:
Li: 0.0774 0.6242 0.2500
Li: 0.3333 0.6667 0.7500
Li: 0.3758 0.4532 0.2500
Li: 0.4532 0.0774 0.7500
Li: 0.5468 0.9226 0.2500
Li: 0.6242 0.5468 0.7500
Li: 0.6667 0.3333 0.2500
Li: 0.9226 0.3758 0.7500
Al: 0.0362 0.8015 0.7500
Al: 0.1985 0.2347 0.7500
Al: 0.2347 0.0362 0.2500
Al: 0.7653 0.9638 0.7500
Al: 0.8015 0.7653 0.2500
Al: 0.9638 0.1985 0.2500

Computed properties:
Distance to the lowest polymorph of the same formula ... 0.000 kcal/mol of atoms
ΔE_f ... -0.90 eV per formula unit



Here is a relaxed structure of Li2Al3 from Alexandria via LeMat-Bulk. Energies are from PBE-GGA.

Cell: 5.4025 5.4025 10.4617 Å, 90.00 90.00 120.00°
Sites, in units of the cell vectors:
Li: 0.0000 0.0000 0.1175
Li: 0.0000 0.0000 0.8825
Li: 0.3333 0.6667 0.5491
Li: 0.3333 0.6667 0.7842
Li: 0.6667 0.3333 0.2158
Li: 0.6667 0.3333 0.4509
Al: 0.0000 0.5000 0.0000
Al: 0.1667 0.3333 0.3333
Al: 0.1667 0.8333 0.3333
Al: 0.3333 0.1667 0.6667
Al: 0.5000 0.0000 0.0000
Al: 0.5000 0.5000 0.0000
Al: 0.6667 0.8333 0.3333
Al: 0.8333 0.1667 0.6667
Al: 0.8333 0.6667 0.6667

Computed properties:
Distance to the lowest polymorph of the same formula ... 3.358 kcal/mol of atoms
ΔE_f ... 0.17 eV per formula unit



Here is a relaxed structure of Li3Al5 from Alexandria via LeMat-Bulk. Energies are from PBE-GGA.

Cell: 7.6272 7.6272 5.1445 Å, 90.00 90.00 120.00°
Sites, in units of the cell vectors:
Li: 0.0000 0.4022 0.2500
Li: 0.0000 0.5978 0.7500
Li: 0.4022 0.0000 0.2500
Li: 0.4022 0.4022 0.7500
Li: 0.5978 0.0000 0.7500
Li: 0.5978 0.5978 0.2500
Al: 0.0000 0.2259 0.7500
Al: 0.0000 0.7741 0.2500
Al: 0.2259 0.0000 0.7500
Al: 0.2259 0.2259 0.2500
Al: 0.3333 0.6667 0.0000
Al: 0.3333 0.6667 0.5000
Al: 0.6667 0.3333 0.0000
Al: 0.6667 0.3333 0.5000
Al: 0.7741 0.0000 0.2500
Al: 0.7741 0.7741 0.7500

Computed properties:
Distance to the lowest polymorph of the same formula ... 3.456 kcal/mol of atoms
ΔE_f ... 0.32 eV per formula unit



Here is a relaxed structure of Li2Al3 from Alexandria via LeMat-Bulk. Energies are from PBE-GGA.

Cell: 4.3044 4.3044 5.2482 Å, 90.00 90.00 120.00°
Sites, in units of the cell vectors:
Li: 0.3333 0.6667 0.3554
Li: 0.6667 0.3333 0.6446
Al: 0.0000 0.0000 0.5000
Al: 0.3333 0.6667 0.8586
Al: 0.6667 0.3333 0.1414

Computed properties:
Distance to the lowest polymorph of the same formula ... 3.876 kcal/mol of atoms
ΔE_f ... 0.28 eV per formula unit



Here is a relaxed structure of Li5Al24 from Alexandria via LeMat-Bulk. Energies are from PBE-GGA.

Cell: 8.6469 8.6469 8.6469 Å, 109.47 109.47 109.47°
Sites, in units of the cell vectors:
Li: 0.0000 0.0000 0.0000
Li: 0.0000 0.0000 0.3462
Li: 0.0000 0.3462 0.0000
Li: 0.3462 0.0000 0.0000
Li: 0.6538 0.6538 0.6538
Al: 0.0000 0.3133 0.5961
Al: 0.0000 0.5961 0.3133
Al: 0.0000 0.6208 0.8080
Al: 0.0000 0.8080 0.6208
Al: 0.1872 0.3792 0.3792
Al: 0.1920 0.1920 0.8128
Al: 0.1920 0.8128 0.1920
Al: 0.2828 0.6867 0.6867
Al: 0.3133 0.0000 0.5961
Al: 0.3133 0.5961 0.0000
Al: 0.3792 0.1872 0.3792
Al: 0.3792 0.3792 0.1872
Al: 0.4039 0.4039 0.7172
Al: 0.4039 0.7172 0.4039
Al: 0.5961 0.0000 0.3133
Al: 0.5961 0.3133 0.0000
Al: 0.6208 0.0000 0.8080
Al: 0.6208 0.8080 0.0000
Al: 0.6867 0.2828 0.6867
Al: 0.6867 0.6867 0.2828
Al: 0.7172 0.4039 0.4039
Al: 0.8080 0.0000 0.6208
Al: 0.8080 0.6208 0.0000
Al: 0.8128 0.1920 0.1920

Computed properties:
ΔE_f ... -0.55 eV per formula unit



Here is a relaxed structure of Li2Al7 from Alexandria via LeMat-Bulk. Energies are from PBE-GGA.

Cell: 4.8946 4.8946 7.1568 Å, 90.00 90.00 120.00°
Sites, in units of the cell vectors:
Li: 0.3333 0.6667 0.0000
Li: 0.6667 0.3333 0.0000
Al: 0.0000 0.0000 0.0000
Al: 0.0000 0.3310 0.6696
Al: 0.0000 0.6690 0.3304
Al: 0.3310 0.0000 0.6696
Al: 0.3310 0.3310 0.3304
Al: 0.6690 0.0000 0.3304
Al: 0.6690 0.6690 0.6696

Computed properties:
ΔE_f ... -0.53 eV per formula unit



Here is a relaxed structure of Li4Al from Alexandria via LeMat-Bulk. Energies are from PBE-GGA.

Cell: 4.6440 4.6440 7.8171 Å, 90.00 90.00 90.00°
Sites, in units of the cell vectors:
Li: 0.0000 0.0000 0.1443
Li: 0.0000 0.0000 0.8557
Li: 0.0000 0.5000 0.2500
Li: 0.0000 0.5000 0.7500
Li: 0.5000 0.0000 0.2500
Li: 0.5000 0.0000 0.7500
Li: 0.5000 0.5000 0.3557
Li: 0.5000 0.5000 0.6443
Al: 0.0000 0.0000 0.5000
Al: 0.5000 0.5000 0.0000

Computed properties:
Distance to the lowest polymorph of the same formula ... 4.059 kcal/mol of atoms
ΔE_f ... 0.47 eV per formula unit



Here is a relaxed structure of Li2Al3 from Alexandria via LeMat-Bulk. Energies are from PBE-GGA.

Cell: 2.9050 2.9050 34.1151 Å, 90.00 90.00 120.00°
Sites, in units of the cell vectors:
Li: 0.0000 0.0000 0.1007
Li: 0.0000 0.0000 0.8993
Li: 0.3333 0.6667 0.5659
Li: 0.3333 0.6667 0.7674
Li: 0.6667 0.3333 0.2326
Li: 0.6667 0.3333 0.4341
Al: 0.0000 0.0000 0.3010
Al: 0.0000 0.0000 0.5000
Al: 0.0000 0.0000 0.6990
Al: 0.3333 0.6667 0.1667
Al: 0.3333 0.6667 0.3657
Al: 0.3333 0.6667 0.9677
Al: 0.6667 0.3333 0.0323
Al: 0.6667 0.3333 0.6343
Al: 0.6667 0.3333 0.8333

Computed properties:
Distance to the lowest polymorph of the same formula ... 1.524 kcal/mol of atoms
ΔE_f ... -0.23 eV per formula unit



Here is a relaxed structure of Li3Al5 from Alexandria via LeMat-Bulk. Energies are from PBE-GGA.

Cell: 7.6413 7.6413 7.7885 Å, 95.63 95.63 141.97°
Sites, in units of the cell vectors:
Li: 0.1816 0.8184 0.0000
Li: 0.2550 0.7450 0.5000
Li: 0.3316 0.3316 0.6280
Li: 0.6684 0.6684 0.3720
Li: 0.7450 0.2550 0.5000
Li: 0.8184 0.1816 0.0000
Al: 0.0464 0.2382 0.3151
Al: 0.2382 0.0464 0.3151
Al: 0.2445 0.2445 0.9876
Al: 0.2521 0.5727 0.8134
Al: 0.4273 0.7479 0.1866
Al: 0.5727 0.2521 0.8134
Al: 0.7479 0.4273 0.1866
Al: 0.7555 0.7555 0.0124
Al: 0.7618 0.9536 0.6849
Al: 0.9536 0.7618 0.6849

Computed properties:
Distance to the lowest polymorph of the same formula ... 2.180 kcal/mol of atoms
ΔE_f ... -0.12 eV per formula unit



Here is a relaxed structure of Li4Al from Alexandria via LeMat-Bulk. Energies are from PBE-GGA.

Cell: 6.2674 6.2674 6.2674 Å, 90.00 90.00 90.00°
Sites, in units of the cell vectors:
Li: 0.2500 0.2500 0.2500
Li: 0.2500 0.2500 0.7500
Li: 0.2500 0.7500 0.2500
Li: 0.2500 0.7500 0.7500
Li: 0.7500 0.2500 0.2500
Li: 0.7500 0.2500 0.7500
Li: 0.7500 0.7500 0.2500
Li: 0.7500 0.7500 0.7500
Al: 0.0000 0.0000 0.0000
Al: 0.5000 0.5000 0.5000

Computed properties:
Distance to the lowest polymorph of the same formula ... 6.233 kcal/mol of atoms
ΔE_f ... 0.95 eV per formula unit



Here is a relaxed structure of Li3Al5 from Alexandria via LeMat-Bulk. Energies are from PBE-GGA.

Cell: 7.9691 8.2622 3.9704 Å, 90.00 90.00 90.00°
Sites, in units of the cell vectors:
Li: 0.0000 0.0000 0.0000
Li: 0.2488 0.0000 0.5000
Li: 0.2512 0.5000 0.5000
Li: 0.5000 0.5000 0.0000
Li: 0.7488 0.5000 0.5000
Li: 0.7512 0.0000 0.5000
Al: 0.0000 0.2509 0.5000
Al: 0.0000 0.5000 0.0000
Al: 0.0000 0.7491 0.5000
Al: 0.2500 0.2500 0.0000
Al: 0.2500 0.7500 0.0000
Al: 0.5000 0.0000 0.0000
Al: 0.5000 0.2491 0.5000
Al: 0.5000 0.7509 0.5000
Al: 0.7500 0.2500 0.0000
Al: 0.7500 0.7500 0.0000

Computed properties:
Distance to the lowest polymorph of the same formula ... 0.000 kcal/mol of atoms
ΔE_f ... -0.87 eV per formula unit